Record 1
TaAlFePd: optimized geometry, PBE.

a = 6.176 Å, b = 6.176 Å, c = 6.176 Å
α = 90.00°, β = 90.00°, γ = 90.00°
Fractional coordinates of all 16 atoms:
Ta 0.000 0.000 0.000
Ta 0.000 0.500 0.500
Ta 0.500 0.000 0.500
Ta 0.500 0.500 0.000
Al 0.000 0.000 0.500
Al 0.000 0.500 0.000
Al 0.500 0.000 0.000
Al 0.500 0.500 0.500
Fe 0.250 0.250 0.750
Fe 0.250 0.750 0.250
Fe 0.750 0.250 0.250
Fe 0.750 0.750 0.750
Pd 0.250 0.250 0.250
Pd 0.250 0.750 0.750
Pd 0.750 0.250 0.750
Pd 0.750 0.750 0.250

Properties
Formation energy = -0.33 eV/atom
Crystal system = cubic
Space-group type = F-43m, No. 216
Electronic total energy = -7.643 eV per atom

=====

Record 2
Zr2Al5Fe2Pd: optimized geometry, PBE.

a = 8.894 Å, b = 8.894 Å, c = 3.992 Å
α = 90.00°, β = 90.00°, γ = 90.00°
Fractional coordinates of all 20 atoms:
Zr 0.177 0.323 0.000
Zr 0.323 0.823 0.000
Zr 0.677 0.177 0.000
Zr 0.823 0.677 0.000
Al 0.000 0.500 0.500
Al 0.067 0.790 0.500
Al 0.210 0.067 0.500
Al 0.290 0.567 0.500
Al 0.433 0.290 0.500
Al 0.500 0.000 0.500
Al 0.567 0.710 0.500
Al 0.710 0.433 0.500
Al 0.790 0.933 0.500
Al 0.933 0.210 0.500
Fe 0.116 0.616 0.000
Fe 0.384 0.116 0.000
Fe 0.616 0.884 0.000
Fe 0.884 0.384 0.000
Pd 0.000 0.000 0.000
Pd 0.500 0.500 0.000

Properties
Formation energy = -0.45 eV/atom
Crystal system = tetragonal
Space-group type = P4/mbm, No. 127
Electronic total energy = -6.244 eV per atom

=====

Record 3
PmAl2Fe9: optimized geometry, PBE.

a = 8.110 Å, b = 8.110 Å, c = 4.648 Å
α = 90.00°, β = 90.00°, γ = 90.00°
Fractional coordinates of all 24 atoms:
Pm 0.000 0.000 0.000
Pm 0.500 0.500 0.000
Al 0.120 0.380 0.000
Al 0.380 0.880 0.000
Al 0.620 0.120 0.000
Al 0.880 0.620 0.000
Fe 0.000 0.500 0.500
Fe 0.069 0.215 0.500
Fe 0.176 0.676 0.232
Fe 0.176 0.676 0.768
Fe 0.215 0.931 0.500
Fe 0.285 0.431 0.500
Fe 0.324 0.176 0.232
Fe 0.324 0.176 0.768
Fe 0.431 0.715 0.500
Fe 0.500 0.000 0.500
Fe 0.569 0.285 0.500
Fe 0.676 0.824 0.232
Fe 0.676 0.824 0.768
Fe 0.715 0.569 0.500
Fe 0.785 0.069 0.500
Fe 0.824 0.324 0.232
Fe 0.824 0.324 0.768
Fe 0.931 0.785 0.500

Properties
Formation energy = -0.11 eV/atom
Crystal system = tetragonal
Space-group type = P4/mbm, No. 127
Electronic total energy = -7.480 eV per atom

=====

Record 4
PmAl2Fe: optimized geometry, PBE.

a = 3.062 Å, b = 3.062 Å, c = 7.453 Å
α = 90.00°, β = 90.00°, γ = 90.00°
Fractional coordinates of all 4 atoms:
Pm 0.000 0.000 0.000
Al 0.500 0.500 0.323
Al 0.500 0.500 0.677
Fe 0.000 0.000 0.500

Properties
Formation energy = -0.23 eV/atom
Crystal system = tetragonal
Space-group type = P4/mmm, No. 123
Electronic total energy = -5.401 eV per atom

=====

Record 5
PmAlFe5: optimized geometry, PBE.

a = 8.047 Å, b = 4.934 Å, c = 10.286 Å
α = 90.00°, β = 90.00°, γ = 90.00°
Fractional coordinates of all 28 atoms:
Pm 0.237 0.250 0.060
Pm 0.263 0.750 0.560
Pm 0.737 0.250 0.440
Pm 0.763 0.750 0.940
Al 0.146 0.750 0.857
Al 0.354 0.250 0.357
Al 0.646 0.750 0.643
Al 0.854 0.250 0.143
Fe 0.054 0.750 0.111
Fe 0.062 0.005 0.312
Fe 0.062 0.495 0.312
Fe 0.088 0.250 0.518
Fe 0.192 0.250 0.752
Fe 0.308 0.750 0.252
Fe 0.412 0.750 0.018
Fe 0.438 0.505 0.812
Fe 0.438 0.995 0.812
Fe 0.446 0.250 0.611
Fe 0.554 0.750 0.389
Fe 0.562 0.005 0.188
Fe 0.562 0.495 0.188
Fe 0.588 0.250 0.982
Fe 0.692 0.250 0.748
Fe 0.808 0.750 0.248
Fe 0.912 0.750 0.482
Fe 0.938 0.505 0.688
Fe 0.938 0.995 0.688
Fe 0.946 0.250 0.889

Properties
Formation energy = -0.08 eV/atom
Crystal system = orthorhombic
Space-group type = Pnma, No. 62
Electronic total energy = -7.341 eV per atom

=====

Record 6
PmAlFe4: optimized geometry, PBE.

a = 5.006 Å, b = 5.006 Å, c = 5.006 Å
α = 60.00°, β = 60.00°, γ = 60.00°
Fractional coordinates of all 6 atoms:
Pm 0.000 0.000 0.000
Al 0.750 0.750 0.750
Fe 0.376 0.376 0.376
Fe 0.376 0.376 0.871
Fe 0.376 0.871 0.376
Fe 0.871 0.376 0.376

Properties
Formation energy = -0.04 eV/atom
Crystal system = cubic
Space-group type = F-43m, No. 216
Electronic total energy = -7.102 eV per atom

=====

Record 7
Pm2Al9Fe3: optimized geometry, PBE.

a = 7.503 Å, b = 7.503 Å, c = 10.543 Å
α = 111.12°, β = 111.12°, γ = 59.32°
Fractional coordinates of all 28 atoms:
Pm 0.088 0.252 0.249
Pm 0.252 0.088 0.749
Pm 0.748 0.912 0.251
Pm 0.912 0.748 0.751
Al 0.024 0.855 0.069
Al 0.145 0.976 0.431
Al 0.191 0.359 0.565
Al 0.210 0.581 0.253
Al 0.321 0.488 0.958
Al 0.359 0.191 0.065
Al 0.364 0.636 0.750
Al 0.419 0.790 0.247
Al 0.488 0.321 0.458
Al 0.512 0.679 0.542
Al 0.581 0.210 0.753
Al 0.636 0.364 0.250
Al 0.641 0.809 0.935
Al 0.679 0.512 0.042
Al 0.790 0.419 0.747
Al 0.809 0.641 0.435
Al 0.855 0.024 0.569
Al 0.976 0.145 0.931
Fe 0.000 0.500 0.000
Fe 0.158 0.671 0.499
Fe 0.329 0.842 0.001
Fe 0.500 0.000 0.500
Fe 0.671 0.158 0.999
Fe 0.842 0.329 0.501

Properties
Formation energy = -0.39 eV/atom
Crystal system = monoclinic
Space-group type = C2/c, No. 15
Electronic total energy = -5.289 eV per atom

=====

Record 8
Pm2Al3Fe: optimized geometry, PBE.

a = 5.494 Å, b = 5.494 Å, c = 5.494 Å
α = 61.58°, β = 61.58°, γ = 61.58°
Fractional coordinates of all 6 atoms:
Pm 0.126 0.126 0.126
Pm 0.874 0.874 0.874
Al 0.000 0.500 0.500
Al 0.500 0.000 0.500
Al 0.500 0.500 0.000
Fe 0.500 0.500 0.500

Properties
Formation energy = -0.35 eV/atom
Crystal system = trigonal
Space-group type = R-3m, No. 166
Electronic total energy = -5.219 eV per atom

=====

Record 9
Pm6AlFe2: optimized geometry, PBE.

a = 8.584 Å, b = 8.584 Å, c = 8.584 Å
α = 111.64°, β = 109.76°, γ = 107.05°
Fractional coordinates of all 18 atoms:
Pm 0.021 0.229 0.792
Pm 0.186 0.285 0.471
Pm 0.186 0.715 0.902
Pm 0.313 0.018 0.705
Pm 0.313 0.609 0.295
Pm 0.436 0.229 0.208
Pm 0.564 0.771 0.792
Pm 0.687 0.391 0.705
Pm 0.687 0.982 0.295
Pm 0.814 0.285 0.098
Pm 0.814 0.715 0.529
Pm 0.979 0.771 0.208
Al 0.000 0.000 0.000
Al 0.500 0.500 0.000
Fe 0.106 0.606 0.500
Fe 0.387 0.000 0.387
Fe 0.613 0.000 0.613
Fe 0.894 0.394 0.500

Properties
Formation energy = -0.04 eV/atom
Crystal system = orthorhombic
Space-group type = Immm, No. 71
Electronic total energy = -5.507 eV per atom

=====

Record 10
PmAlFe: optimized geometry, PBE.

a = 10.721 Å, b = 9.815 Å, c = 5.534 Å
α = 83.65°, β = 65.49°, γ = 30.87°
Fractional coordinates of all 12 atoms:
Pm 0.025 0.725 0.025
Pm 0.275 0.975 0.275
Pm 0.725 0.025 0.725
Pm 0.975 0.275 0.975
Al 0.284 0.284 0.466
Al 0.466 0.466 0.284
Al 0.534 0.534 0.716
Al 0.716 0.716 0.534
Fe 0.002 0.002 0.748
Fe 0.252 0.252 0.998
Fe 0.748 0.748 0.002
Fe 0.998 0.998 0.252

Properties
Formation energy = 0.04 eV/atom
Crystal system = orthorhombic
Space-group type = Fddd, No. 70
Electronic total energy = -5.611 eV per atom

=====

Record 11
PmAl9Fe2: optimized geometry, PBE.

a = 8.241 Å, b = 8.241 Å, c = 8.241 Å
α = 99.78°, β = 99.78°, γ = 131.33°
Fractional coordinates of all 24 atoms:
Pm 0.375 0.625 0.750
Pm 0.625 0.375 0.250
Al 0.125 0.875 0.250
Al 0.141 0.570 0.326
Al 0.141 0.816 0.571
Al 0.184 0.256 0.326
Al 0.184 0.859 0.929
Al 0.256 0.184 0.826
Al 0.256 0.430 0.071
Al 0.430 0.256 0.571
Al 0.430 0.859 0.174
Al 0.570 0.141 0.826
Al 0.570 0.744 0.429
Al 0.744 0.570 0.929
Al 0.744 0.816 0.174
Al 0.816 0.141 0.071
Al 0.816 0.744 0.674
Al 0.859 0.184 0.429
Al 0.859 0.430 0.674
Al 0.875 0.125 0.750
Fe 0.000 0.000 0.000
Fe 0.000 0.000 0.500
Fe 0.000 0.500 0.000
Fe 0.500 0.000 0.500

Properties
Formation energy = -0.32 eV/atom
Crystal system = tetragonal
Space-group type = I4_1/amd, No. 141
Electronic total energy = -4.938 eV per atom

=====

Record 12
Pm2Al4FePt3: optimized geometry, PBE.

a = 4.273 Å, b = 4.273 Å, c = 10.194 Å
α = 90.00°, β = 90.00°, γ = 90.00°
Fractional coordinates of all 10 atoms:
Pm 0.000 0.500 0.237
Pm 0.500 0.000 0.763
Al 0.000 0.000 0.500
Al 0.000 0.500 0.881
Al 0.500 0.000 0.119
Al 0.500 0.500 0.500
Fe 0.500 0.500 0.000
Pt 0.000 0.000 0.000
Pt 0.000 0.500 0.634
Pt 0.500 0.000 0.366

Properties
Formation energy = -0.91 eV/atom
Crystal system = tetragonal
Space-group type = P-4m2, No. 115
Electronic total energy = -6.019 eV per atom

=====

Record 13
Pm2ScAl12Fe3: optimized geometry, PBE.

a = 7.867 Å, b = 7.867 Å, c = 7.867 Å
α = 65.67°, β = 65.67°, γ = 65.67°
Fractional coordinates of all 18 atoms:
Pm 0.082 0.082 0.082
Pm 0.918 0.918 0.918
Sc 0.500 0.500 0.500
Al 0.040 0.660 0.660
Al 0.230 0.230 0.584
Al 0.230 0.584 0.230
Al 0.340 0.340 0.960
Al 0.340 0.960 0.340
Al 0.416 0.770 0.770
Al 0.584 0.230 0.230
Al 0.660 0.040 0.660
Al 0.660 0.660 0.040
Al 0.770 0.416 0.770
Al 0.770 0.770 0.416
Al 0.960 0.340 0.340
Fe 0.000 0.500 0.500
Fe 0.500 0.000 0.500
Fe 0.500 0.500 0.000

Properties
Formation energy = 0.18 eV/atom
Crystal system = trigonal
Space-group type = R-3m, No. 166
Electronic total energy = -4.607 eV per atom

=====

Record 14
PmAlFe2Si: optimized geometry, PBE.

a = 5.959 Å, b = 5.959 Å, c = 5.600 Å
α = 90.00°, β = 90.00°, γ = 123.14°
Fractional coordinates of all 10 atoms:
Pm 0.240 0.760 0.750
Pm 0.760 0.240 0.250
Al 0.104 0.896 0.250
Al 0.896 0.104 0.750
Fe 0.295 0.295 0.000
Fe 0.295 0.295 0.500
Fe 0.705 0.705 0.000
Fe 0.705 0.705 0.500
Si 0.359 0.641 0.250
Si 0.641 0.359 0.750

Properties
Crystal system = orthorhombic
Formation energy from raw total energies = -0.4049 eV per atom
Space-group type = Cmcm, No. 63
Electronic total energy = -6.573 eV per atom

=====

Record 15
Pr2AlFe: optimized geometry, PBE.

a = 3.357 Å, b = 3.357 Å, c = 31.933 Å
α = 90.00°, β = 90.00°, γ = 120.00°
Fractional coordinates of all 12 atoms:
Pr 0.000 0.000 0.087
Pr 0.000 0.000 0.913
Pr 0.333 0.667 0.580
Pr 0.333 0.667 0.754
Pr 0.667 0.333 0.246
Pr 0.667 0.333 0.420
Al 0.000 0.000 0.500
Al 0.333 0.667 0.167
Al 0.667 0.333 0.833
Fe 0.000 0.000 0.000
Fe 0.333 0.667 0.667
Fe 0.667 0.333 0.333

Properties
Formation energy = 0.57 eV/atom
Crystal system = trigonal
Space-group type = R-3m, No. 166
Electronic total energy = -4.870 eV per atom

=====

Record 16
PrAl4Fe: optimized geometry, PBE.

a = 4.473 Å, b = 4.473 Å, c = 6.824 Å
α = 90.00°, β = 90.00°, γ = 90.00°
Fractional coordinates of all 6 atoms:
Pr 0.000 0.000 0.000
Al 0.000 0.500 0.500
Al 0.500 0.000 0.500
Al 0.500 0.500 0.176
Al 0.500 0.500 0.824
Fe 0.500 0.500 0.500

Properties
Formation energy = 0.02 eV/atom
Crystal system = tetragonal
Space-group type = P4/mmm, No. 123
Electronic total energy = -4.684 eV per atom

=====

Record 17
Pr4AlFe33: optimized geometry, PBE.

a = 6.476 Å, b = 6.476 Å, c = 12.950 Å
α = 97.30°, β = 97.30°, γ = 82.71°
Fractional coordinates of all 38 atoms:
Pr 0.000 0.000 0.000
Pr 0.004 0.004 0.501
Pr 0.684 0.684 0.159
Pr 0.691 0.691 0.658
Al 0.440 0.440 0.782
Fe 0.001 0.496 0.000
Fe 0.002 0.002 0.253
Fe 0.003 0.003 0.753
Fe 0.005 0.500 0.501
Fe 0.055 0.343 0.186
Fe 0.056 0.632 0.330
Fe 0.058 0.630 0.829
Fe 0.059 0.346 0.687
Fe 0.188 0.684 0.159
Fe 0.190 0.687 0.659
Fe 0.246 0.246 0.879
Fe 0.248 0.248 0.378
Fe 0.342 0.342 0.080
Fe 0.343 0.055 0.186
Fe 0.344 0.629 0.973
Fe 0.344 0.844 0.330
Fe 0.344 0.844 0.830
Fe 0.345 0.633 0.474
Fe 0.346 0.059 0.687
Fe 0.346 0.346 0.580
Fe 0.440 0.440 0.282
Fe 0.496 0.001 0.000
Fe 0.500 0.005 0.501
Fe 0.629 0.344 0.973
Fe 0.630 0.058 0.829
Fe 0.632 0.056 0.330
Fe 0.633 0.345 0.474
Fe 0.684 0.188 0.159
Fe 0.685 0.685 0.908
Fe 0.686 0.686 0.407
Fe 0.687 0.190 0.659
Fe 0.844 0.344 0.330
Fe 0.844 0.344 0.830

Properties
Formation energy = 0.03 eV/atom
Crystal system = monoclinic
Space-group type = Cm, No. 8
Electronic total energy = -7.922 eV per atom